# 1
# LaZrMo PBE-GGA relaxed
# Final energy (eV/atom): -6.72
# Energy of formation (eV/atom): 1.378
data_LaZrMo
_chemical_formula_sum 'La4 Zr4 Mo4'
_space_group_name_H-M_alt 'F -4 3 m'
_space_group_IT_number 216
_space_group_name_Hall 'F -4 2 3'
_cell_length_a 6.639
_cell_length_b 6.639
_cell_length_c 6.639
_cell_angle_alpha 90.00
_cell_angle_beta 90.00
_cell_angle_gamma 90.00
loop_
_atom_site_label
_atom_site_type_symbol
_atom_site_fract_x
_atom_site_fract_y
_atom_site_fract_z
La1 La 0.000 0.000 0.000
Zr1 Zr 0.250 0.250 0.250
Mo1 Mo 0.250 0.250 0.750

# 2
# LaZrMo2 PBE-GGA relaxed
# Final energy (eV/atom): -8.36
# Energy of formation (eV/atom): 0.427
data_LaZrMo2
_chemical_formula_sum 'La4 Zr4 Mo8'
_space_group_name_H-M_alt 'F -4 3 m'
_space_group_IT_number 216
_space_group_name_Hall 'F -4 2 3'
_cell_length_a 6.852
_cell_length_b 6.852
_cell_length_c 6.852
_cell_angle_alpha 90.00
_cell_angle_beta 90.00
_cell_angle_gamma 90.00
loop_
_atom_site_label
_atom_site_type_symbol
_atom_site_fract_x
_atom_site_fract_y
_atom_site_fract_z
La1 La 0.000 0.000 0.000
Zr1 Zr 0.250 0.250 0.750
Mo1 Mo 0.000 0.000 0.500
Mo2 Mo 0.250 0.250 0.250

# 3
# LaZrMo2 PBE-GGA relaxed
# Final energy (eV/atom): -8.63
# Energy of formation (eV/atom): 0.158
data_LaZrMo2
_chemical_formula_sum 'La1 Zr1 Mo2'
_space_group_name_H-M_alt 'P 4 m m'
_space_group_IT_number 99
_cell_length_a 3.243
_cell_length_b 3.243
_cell_length_c 8.331
_cell_angle_alpha 90.00
_cell_angle_beta 90.00
_cell_angle_gamma 90.00
loop_
_space_group_symop_operation_xyz
'x,y,z'
'-y,x,z'
'-x,-y,z'
'y,-x,z'
'-x,y,z'
'y,x,z'
'x,-y,z'
'-y,-x,z'
loop_
_atom_site_label
_atom_site_type_symbol
_atom_site_fract_x
_atom_site_fract_y
_atom_site_fract_z
La1 La 0.000 0.000 0.000
Zr1 Zr 0.500 0.500 0.653
Mo1 Mo 0.000 0.000 0.440
Mo2 Mo 0.500 0.500 0.275

# 4
# LaZr3Mo PBE-GGA relaxed
# Final energy (eV/atom): -7.86
# Energy of formation (eV/atom): 0.423
data_LaZr3Mo
_chemical_formula_sum 'La1 Zr3 Mo1'
_space_group_name_H-M_alt 'P m -3 m'
_space_group_IT_number 221
_space_group_name_Hall '-P 4 2 3'
_cell_length_a 5.168
_cell_length_b 5.168
_cell_length_c 5.168
_cell_angle_alpha 90.00
_cell_angle_beta 90.00
_cell_angle_gamma 90.00
loop_
_atom_site_label
_atom_site_type_symbol
_atom_site_fract_x
_atom_site_fract_y
_atom_site_fract_z
La1 La 0.000 0.000 0.000
Zr1 Zr 0.000 0.500 0.500
Mo1 Mo 0.500 0.500 0.500

# 5
# LaZrMo2 PBE-GGA relaxed
# Final energy (eV/atom): -8.26
# Energy of formation (eV/atom): 0.522
data_LaZrMo2
_chemical_formula_sum 'La2 Zr2 Mo4'
_space_group_name_H-M_alt 'C 1 2/m 1'
_space_group_IT_number 12
_cell_length_a 9.868
_cell_length_b 3.253
_cell_length_c 6.009
_cell_angle_alpha 90.00
_cell_angle_beta 91.11
_cell_angle_gamma 90.00
loop_
_space_group_symop_operation_xyz
'x,y,z'
'-x,-y,-z'
'-x,y,-z'
'x,-y,z'
'x+1/2,y+1/2,z'
'-x+1/2,-y+1/2,-z'
'-x+1/2,y+1/2,-z'
'x+1/2,-y+1/2,z'
loop_
_atom_site_label
_atom_site_type_symbol
_atom_site_fract_x
_atom_site_fract_y
_atom_site_fract_z
La1 La 0.000 0.000 0.000
Zr1 Zr 0.000 0.500 0.500
Mo1 Mo 0.246 0.000 0.657

# 6
# LaZrMo PBE-GGA relaxed
# Final energy (eV/atom): -7.63
# Energy of formation (eV/atom): 0.474
data_LaZrMo
_chemical_formula_sum 'La2 Zr2 Mo2'
_space_group_name_H-M_alt 'I m m 2'
_space_group_IT_number 44
_cell_length_a 2.995
_cell_length_b 5.186
_cell_length_c 8.652
_cell_angle_alpha 90.00
_cell_angle_beta 90.00
_cell_angle_gamma 90.00
loop_
_space_group_symop_operation_xyz
'x,y,z'
'-x,-y,z'
'-x,y,z'
'x,-y,z'
'x+1/2,y+1/2,z+1/2'
'-x+1/2,-y+1/2,z+1/2'
'-x+1/2,y+1/2,z+1/2'
'x+1/2,-y+1/2,z+1/2'
loop_
_atom_site_label
_atom_site_type_symbol
_atom_site_fract_x
_atom_site_fract_y
_atom_site_fract_z
La1 La 0.000 0.000 0.000
Zr1 Zr 0.000 0.000 0.336
Mo1 Mo 0.000 0.000 0.672

# 7
# LaZrMo2 PBE-GGA relaxed
# Final energy (eV/atom): -8.30
# Energy of formation (eV/atom): 0.485
data_LaZrMo2
_chemical_formula_sum 'La2 Zr2 Mo4'
_space_group_name_H-M_alt 'I m m m'
_space_group_IT_number 71
_space_group_name_Hall '-I 2 2'
_cell_length_a 3.371
_cell_length_b 5.133
_cell_length_c 9.234
_cell_angle_alpha 90.00
_cell_angle_beta 90.00
_cell_angle_gamma 90.00
loop_
_atom_site_label
_atom_site_type_symbol
_atom_site_fract_x
_atom_site_fract_y
_atom_site_fract_z
La1 La 0.000 0.000 0.000
Zr1 Zr 0.000 0.000 0.500
Mo1 Mo 0.000 0.500 0.254

# 8
# LaZrMo2 PBE-GGA relaxed
# Final energy (eV/atom): -8.38
# Energy of formation (eV/atom): 0.403
data_LaZrMo2
_chemical_formula_sum 'La1 Zr1 Mo2'
_space_group_name_H-M_alt 'P 1 2/m 1'
_space_group_IT_number 10
_cell_length_a 3.107
_cell_length_b 4.579
_cell_length_c 6.312
_cell_angle_alpha 90.00
_cell_angle_beta 95.57
_cell_angle_gamma 90.00
loop_
_space_group_symop_operation_xyz
'x,y,z'
'-x,-y,-z'
'-x,y,-z'
'x,-y,z'
loop_
_atom_site_label
_atom_site_type_symbol
_atom_site_fract_x
_atom_site_fract_y
_atom_site_fract_z
La1 La 0.000 0.000 0.000
Zr1 Zr 0.500 0.000 0.500
Mo1 Mo 0.161 0.500 0.683